1.
The following is a PBE calculation of a relaxed structure of LiThGaI6, from Alexandria.

abc: 7.7461 7.7461 14.7082
angles: 90.00 90.00 120.00
Last column: nearest neighbours and their distance in Å.
Sites, in units of the cell vectors:
Li  0.3333  0.6667  0.2500  6 I 3.05
Li  0.6667  0.3333  0.7500  6 I 3.05
Th  0.3333  0.6667  0.7500  6 I 3.08
Th  0.6667  0.3333  0.2500  6 I 3.08
Ga  0.0000  0.0000  0.0000  6 I 3.34
Ga  0.0000  0.0000  0.5000  6 I 3.34
I  0.0039  0.3543  0.1306  1 Li 3.05, 1 Th 3.08, 1 Ga 3.34
I  0.0039  0.6496  0.3694  1 Li 3.05, 1 Th 3.08, 1 Ga 3.34
I  0.3504  0.3543  0.3694  1 Li 3.05, 1 Th 3.08, 1 Ga 3.34
I  0.3504  0.9961  0.1306  1 Li 3.05, 1 Th 3.08, 1 Ga 3.34
I  0.3543  0.0039  0.6306  1 Li 3.05, 1 Th 3.08, 1 Ga 3.34
I  0.3543  0.3504  0.8694  1 Li 3.05, 1 Th 3.08, 1 Ga 3.34
I  0.6457  0.6496  0.1306  1 Li 3.05, 1 Th 3.08, 1 Ga 3.34
I  0.6457  0.9961  0.3694  1 Li 3.05, 1 Th 3.08, 1 Ga 3.34
I  0.6496  0.0039  0.8694  1 Li 3.05, 1 Th 3.08, 1 Ga 3.34
I  0.6496  0.6457  0.6306  1 Li 3.05, 1 Th 3.08, 1 Ga 3.34
I  0.9961  0.3504  0.6306  1 Li 3.05, 1 Th 3.08, 1 Ga 3.34
I  0.9961  0.6457  0.8694  1 Li 3.05, 1 Th 3.08, 1 Ga 3.34

The raw formation energy is -881 kJ/mol of formula units. The calculated total energy is -61.58 eV per cell. The density is 4.65 Mg/m³. The size of the total moment comes out at 0.0 μB/f.u. The value obtained for the volume is 764 Å³/cell. As for the space group: P-31c (163).


2.
The following is a PBE calculation of a relaxed structure of Si2SbP, from Alexandria.

abc: 4.6806 4.6806 4.6806
angles: 60.00 60.00 60.00
Last column: nearest neighbours and their distance in Å.
Sites, in units of the cell vectors:
Si  0.2500  0.2500  0.2500  4 Sb 2.87, 4 P 2.87
Si  0.7500  0.7500  0.7500  4 Sb 2.87, 4 P 2.87
Sb  0.0000  0.0000  0.0000  8 Si 2.87
P  0.5000  0.5000  0.5000  8 Si 2.87

For the polymorph energy (0 for the lowest one), the calculation gives 415.1 meV/atom. The raw formation energy is 248 kJ/mol of formula units. The calculated total energy is -17.81 eV per cell. The density is 4.78 Mg/m³. The size of the total moment comes out at 0.0 μB/f.u. The value obtained for the volume is 73 Å³/cell. As for the space group: Fm-3m (225).


3.
The following is a PBE calculation of a relaxed structure of BaScP2O, from Alexandria.

abc: 5.2906 5.2906 4.1168
angles: 90.00 90.00 90.00
Last column: nearest neighbours and their distance in Å.
Sites, in units of the cell vectors:
Ba  0.0000  0.0000  0.0000  8 P 3.35, 4 O 3.74
Sc  0.5000  0.5000  0.5000  2 O 2.06
P  0.0000  0.5000  0.5000  2 Sc 2.65
P  0.5000  0.0000  0.5000  2 Sc 2.65
O  0.5000  0.5000  0.0000  2 Sc 2.06

For the polymorph energy (0 for the lowest one), the calculation gives 0.0 meV/atom. The raw formation energy is -504 kJ/mol of formula units. The calculated total energy is -29.26 eV per cell. The density is 3.75 Mg/m³. The size of the total moment comes out at 2.3 μB/f.u. The value obtained for the volume is 115 Å³/cell. As for the space group: P4/mmm (123).


4.
The following is a PBE calculation of a relaxed structure of CsRb3O, from Alexandria.

abc: 6.2753 6.2753 6.2753
angles: 90.00 90.00 90.00
Last column: nearest neighbours and their distance in Å.
Sites, in units of the cell vectors:
Cs  0.0000  0.0000  0.0000  12 Rb 4.44
Rb  0.0000  0.5000  0.5000  2 O 3.14
Rb  0.5000  0.0000  0.5000  2 O 3.14
Rb  0.5000  0.5000  0.0000  2 O 3.14
O  0.5000  0.5000  0.5000  6 Rb 3.14

For the polymorph energy (0 for the lowest one), the calculation gives 0.0 meV/atom. The raw formation energy is -160 kJ/mol of formula units. The calculated total energy is -10.38 eV per cell. The density is 2.72 Mg/m³. The size of the total moment comes out at 0.0 μB/f.u. The value obtained for the volume is 247 Å³/cell. As for the space group: Pm-3m (221).


- Look up the size of the total moment of the second one.
  0.0 μB/f.u.


What did the first record say?
The following is a PBE calculation of a relaxed structure of LiThGaI6, from Alexandria.

abc: 7.7461 7.7461 14.7082
angles: 90.00 90.00 120.00
Last column: nearest neighbours and their distance in Å.
Sites, in units of the cell vectors:
Li  0.3333  0.6667  0.2500  6 I 3.05
Li  0.6667  0.3333  0.7500  6 I 3.05
Th  0.3333  0.6667  0.7500  6 I 3.08
Th  0.6667  0.3333  0.2500  6 I 3.08
Ga  0.0000  0.0000  0.0000  6 I 3.34
Ga  0.0000  0.0000  0.5000  6 I 3.34
I  0.0039  0.3543  0.1306  1 Li 3.05, 1 Th 3.08, 1 Ga 3.34
I  0.0039  0.6496  0.3694  1 Li 3.05, 1 Th 3.08, 1 Ga 3.34
I  0.3504  0.3543  0.3694  1 Li 3.05, 1 Th 3.08, 1 Ga 3.34
I  0.3504  0.9961  0.1306  1 Li 3.05, 1 Th 3.08, 1 Ga 3.34
I  0.3543  0.0039  0.6306  1 Li 3.05, 1 Th 3.08, 1 Ga 3.34
I  0.3543  0.3504  0.8694  1 Li 3.05, 1 Th 3.08, 1 Ga 3.34
I  0.6457  0.6496  0.1306  1 Li 3.05, 1 Th 3.08, 1 Ga 3.34
I  0.6457  0.9961  0.3694  1 Li 3.05, 1 Th 3.08, 1 Ga 3.34
I  0.6496  0.0039  0.8694  1 Li 3.05, 1 Th 3.08, 1 Ga 3.34
I  0.6496  0.6457  0.6306  1 Li 3.05, 1 Th 3.08, 1 Ga 3.34
I  0.9961  0.3504  0.6306  1 Li 3.05, 1 Th 3.08, 1 Ga 3.34
I  0.9961  0.6457  0.8694  1 Li 3.05, 1 Th 3.08, 1 Ga 3.34

The raw formation energy is -881 kJ/mol of formula units. The calculated total energy is -61.58 eV per cell. The density is 4.65 Mg/m³. The size of the total moment comes out at 0.0 μB/f.u. The value obtained for the volume is 764 Å³/cell. As for the space group: P-31c (163).